Entry 1:
Entry from the Alexandria database: a relaxed structure of ZrTiNiRu (PBE).

Unit cell a=4.4709 b=4.4709 c=4.4709 alpha=60.00 beta=60.00 gamma=60.00
Last column: nearest neighbours and their distance in Å.
Positions (direct):
Zr1 0.5000 0.5000 0.5000  4 Ru 2.74, 4 Ni 2.74
Ti1 0.0000 0.0000 0.0000  4 Ru 2.74, 4 Ni 2.74
Ru1 0.2500 0.2500 0.2500  4 Zr 2.74, 4 Ti 2.74
Ni1 0.7500 0.7500 0.7500  4 Zr 2.74, 4 Ti 2.74

Results
Density of states at the Fermi level: 1.23 states/eV/atom
Energy: -8.33 eV/atom
Spin magnetization: 0.0 μB/cell


Entry 2:
Entry from the Alexandria database: a relaxed structure of TlNi2Ru (PBE).

Unit cell a=4.7211 b=4.7211 c=4.7211 alpha=131.12 beta=131.12 gamma=71.63
Last column: nearest neighbours and their distance in Å.
Positions (direct):
Ni1 0.2500 0.7500 0.5000  4 Ni 2.73, 4 Ru 2.73, 4 Tl 2.76
Ru1 0.5000 0.5000 0.0000  4 Tl 2.73, 8 Ni 2.73-2.76
Tl1 0.7500 0.2500 0.5000  8 Ni 2.73-2.76, 4 Ru 2.73
Ni2 0.0000 0.0000 0.0000  4 Tl 2.73, 4 Ni 2.73, 4 Ru 2.76

Results
Density of states at the Fermi level: 1.11 states/eV/atom
Energy: -5.39 eV/atom
Spin magnetization: 1.9 μB/cell


Entry 3:
Entry from the Alexandria database: a relaxed structure of TlNiRu2 (PBE).

Unit cell a=4.7704 b=4.7704 c=2.9387 alpha=90.00 beta=90.00 gamma=112.08
Last column: nearest neighbours and their distance in Å.
Positions (direct):
Ni1 0.0000 0.5000 0.5000  2 Tl 2.66, 8 Ru 2.80, 2 Ni 2.94
Ru1 0.5000 0.5000 0.0000  4 Ru 2.66-2.94, 4 Tl 2.80, 4 Ni 2.80
Ru2 0.0000 0.0000 0.0000  4 Ru 2.66-2.94, 4 Ni 2.80, 4 Tl 2.80
Tl1 0.5000 0.0000 0.5000  2 Ni 2.66, 8 Ru 2.80, 2 Tl 2.94

Results
Density of states at the Fermi level: 1.60 states/eV/atom
Energy: -6.02 eV/atom
Spin magnetization: 0.0 μB/cell


Entry 4:
Entry from the Alexandria database: a relaxed structure of TlNiRu2 (PBE).

Unit cell a=8.8124 b=8.8124 c=8.8124 alpha=18.88 beta=18.88 gamma=18.88
Last column: nearest neighbours and their distance in Å.
Positions (direct):
Ru1 0.4909 0.4909 0.4909  3 Ni 2.55
Ru2 0.0091 0.0091 0.0091  3 Ni 2.55
Ni1 0.7500 0.7500 0.7500  6 Ru 2.55
Tl1 0.2500 0.2500 0.2500  6 Tl 2.89, 6 Ru 2.92

Results
Density of states at the Fermi level: 1.33 states/eV/atom
Energy: -6.02 eV/atom
Spin magnetization: 1.1 μB/cell


Entry 5:
Entry from the Alexandria database: a relaxed structure of TlNiRu2 (PBE).

Unit cell a=4.4246 b=4.4246 c=4.4246 alpha=60.00 beta=60.00 gamma=60.00
Last column: nearest neighbours and their distance in Å.
Positions (direct):
Ru1 0.7500 0.7500 0.7500  4 Tl 2.71, 4 Ni 2.71
Ni1 0.0000 0.0000 0.0000  8 Ru 2.71
Ru2 0.2500 0.2500 0.2500  4 Tl 2.71, 4 Ni 2.71
Tl1 0.5000 0.5000 0.5000  8 Ru 2.71

Results
Density of states at the Fermi level: 1.55 states/eV/atom
Energy: -6.07 eV/atom
Spin magnetization: 0.8 μB/cell


Entry 6:
Entry from the Alexandria database: a relaxed structure of TlNiRu3 (PBE).

Unit cell a=4.9639 b=4.9639 c=4.9639 alpha=90.00 beta=90.00 gamma=90.00
Last column: nearest neighbours and their distance in Å.
Positions (direct):
Ru1 0.0000 0.5000 0.0000  2 Tl 2.48
Tl1 0.0000 0.0000 0.0000  6 Ru 2.48
Ru2 0.0000 0.0000 0.5000  2 Tl 2.48
Ni1 0.5000 0.5000 0.5000  12 Ru 3.51
Ru3 0.5000 0.0000 0.0000  2 Tl 2.48

Results
Density of states at the Fermi level: 1.44 states/eV/atom
Energy: -4.57 eV/atom
Spin magnetization: 6.8 μB/cell


Entry 7:
Entry from the Alexandria database: a relaxed structure of TlNiRu2 (PBE).

Unit cell a=4.2698 b=2.8609 c=5.3718 alpha=72.57 beta=90.00 gamma=90.00
Last column: nearest neighbours and their distance in Å.
Positions (direct):
Ru1 0.0000 0.9040 0.9640  2 Ni 2.53, 2 Ru 2.55-2.70
Ru2 0.0000 0.5960 0.5360  2 Ni 2.53, 2 Ru 2.55-2.70
Ni1 0.5000 0.7500 0.7500  4 Ru 2.53, 2 Tl 2.64
Tl1 0.5000 0.2500 0.2500  2 Ni 2.64, 2 Tl 2.86, 4 Ru 2.95

Results
Density of states at the Fermi level: 1.59 states/eV/atom
Energy: -6.09 eV/atom
Spin magnetization: 0.2 μB/cell


Entry 8:
Entry from the Alexandria database: a relaxed structure of TlNi2Ru (PBE).

Unit cell a=3.0666 b=3.0633 c=6.2082 alpha=90.00 beta=90.00 gamma=90.00
Last column: nearest neighbours and their distance in Å.
Positions (direct):
Ru1 0.0000 0.0000 0.4499  5 Ni 2.52-2.55
Tl1 0.5000 0.5000 0.7666  5 Ni 2.75-2.97, 4 Ru 2.93, 4 Tl 3.06-3.07
Ni1 0.5000 0.5000 0.2443  4 Ni 2.51, 4 Ru 2.52
Ni2 0.0000 0.0000 0.0392  4 Ni 2.51, 1 Ru 2.55, 4 Tl 2.75

Results
Density of states at the Fermi level: 1.35 states/eV/atom
Energy: -5.43 eV/atom
Spin magnetization: 0.0 μB/cell


Entry 9:
Entry from the Alexandria database: a relaxed structure of TlNi2Ru (PBE).

Unit cell a=4.6205 b=4.6205 c=4.6205 alpha=129.09 beta=129.15 gamma=74.82
Last column: nearest neighbours and their distance in Å.
Positions (direct):
Tl1 0.7500 0.2500 0.5000  8 Ni 2.70, 4 Ru 2.81
Ni1 0.0000 0.0000 0.0000  4 Ru 2.70, 4 Tl 2.70, 4 Ni 2.81
Ni2 0.5000 0.5000 0.0000  4 Ru 2.70, 4 Tl 2.70, 4 Ni 2.81
Ru1 0.2500 0.7500 0.5000  8 Ni 2.70, 4 Tl 2.81

Results
Density of states at the Fermi level: 1.67 states/eV/atom
Energy: -5.40 eV/atom
Spin magnetization: 1.0 μB/cell


Entry 10:
Entry from the Alexandria database: a relaxed structure of TlNi2Ru (PBE).

Unit cell a=3.8790 b=3.8790 c=9.1598 alpha=77.78 beta=77.78 gamma=90.00
Last column: nearest neighbours and their distance in Å.
Positions (direct):
Ni1 0.1745 0.6250 0.2500  2 Ni 2.49, 2 Ru 2.51, 2 Tl 2.66
Ni2 0.8750 0.8255 0.7500  2 Ni 2.49, 2 Ru 2.51, 2 Tl 2.66
Tl1 0.7500 0.2500 0.5000  4 Ni 2.66, 4 Ru 2.74
Tl2 0.0000 0.0000 0.0000  4 Ni 2.66, 4 Ru 2.74
Ru1 0.2500 0.7500 0.5000  4 Ni 2.51, 4 Tl 2.74
Ni3 0.5755 0.1250 0.2500  2 Ni 2.49, 2 Ru 2.51, 2 Tl 2.66
Ru2 0.5000 0.5000 0.0000  4 Ni 2.51, 4 Tl 2.74
Ni4 0.3750 0.4245 0.7500  2 Ni 2.49, 2 Ru 2.51, 2 Tl 2.66

Results
Density of states at the Fermi level: 1.93 states/eV/atom
Energy: -5.07 eV/atom
Spin magnetization: 3.1 μB/cell


Entry 11:
Entry from the Alexandria database: a relaxed structure of TlNi2Ru (PBE).

Unit cell a=4.4753 b=4.4753 c=2.8953 alpha=90.00 beta=90.00 gamma=90.00
Last column: nearest neighbours and their distance in Å.
Positions (direct):
Ru1 0.5000 0.0000 0.5000  8 Ni 2.67, 2 Ru 2.90
Tl1 0.0000 0.5000 0.5000  8 Ni 2.67, 2 Tl 2.90
Ni1 0.0000 0.0000 0.0000  4 Tl 2.67, 4 Ru 2.67, 2 Ni 2.90
Ni2 0.5000 0.5000 0.0000  4 Tl 2.67, 4 Ru 2.67, 2 Ni 2.90

Results
Density of states at the Fermi level: 1.40 states/eV/atom
Energy: -5.35 eV/atom
Spin magnetization: 1.1 μB/cell


Entry 12:
Entry from the Alexandria database: a relaxed structure of TlNiRu (PBE).

Unit cell a=5.6533 b=5.6533 c=3.0115 alpha=74.55 beta=74.55 gamma=30.89
Last column: nearest neighbours and their distance in Å.
Positions (direct):
Ru1 0.6459 0.6458 0.3541  4 Ni 2.53
Ni1 0.0154 0.0155 0.9846  4 Ru 2.53, 4 Tl 2.82
Tl1 0.3387 0.3387 0.6613  4 Ni 2.82, 4 Ru 2.94, 4 Tl 3.01

Results
Density of states at the Fermi level: 1.11 states/eV/atom
Energy: -5.33 eV/atom
Spin magnetization: 0.0 μB/cell